This record from the Alexandria database describes an optimized crystal structure of SrSi2Pt2. The functional is PBE.

Geometry as CIF:
```
data_SrSi2Pt2
_chemical_formula_sum 'Sr1 Si2 Pt2'
_symmetry_space_group_name_H-M 'P 1'
_symmetry_Int_Tables_number 1
_cell_length_a 4.3098
_cell_length_b 4.3098
_cell_length_c 6.0155
_cell_angle_alpha 69.01
_cell_angle_beta 69.01
_cell_angle_gamma 90.00
loop_
_symmetry_equiv_pos_as_xyz
'x,y,z'
loop_
_atom_site_label
_atom_site_type_symbol
_atom_site_fract_x
_atom_site_fract_y
_atom_site_fract_z
_atom_site_occupancy
Sr1 Sr 0.0000 0.0000 0.0000 1
Pt1 Pt 0.3608 0.3608 0.2783 1
Si1 Si 0.2500 0.7500 0.5000 1
Si2 Si 0.7500 0.2500 0.5000 1
Pt2 Pt 0.6392 0.6392 0.7217 1
```

Computed properties:
Space group = I4/mmm (139)
Total magnetization = 0.00 μB/cell
ρ = 9.2 g/cm³
Formation energy without anion corrections = -0.8886 eV/atom
E_tot = -29.1 eV per formula unit